Entry 1:
First-principles (PBE) data for a geometry-optimized BaSc2Co structure, as listed in the Alexandria database.

Summary:
The space group is Immm, No. 71. The calculation puts the offset from the most stable computed form at 0.164 eV per atom. The formation energy comes out at 0.1992 eV/atom.

Structure (POSCAR):
```
BaSc2Co
1.0
-1.510 3.130 -5.166
-6.143 0.654 -0.773
5.053 1.275 3.407
Ba Co Sc
1 1 2
direct
0.750 0.250 0.500
0.250 0.750 0.500
0.075 0.075 0.000
0.425 0.425 0.000
```


Entry 2:
First-principles (PBE) data for a geometry-optimized PaMnZn17 structure, as listed in the Alexandria database.

Summary:
The space group is R3m, No. 160. The formation energy comes out at -0.0056 eV/atom.

Structure (POSCAR):
```
PaMnZn17
1.0
-0.105 -4.887 4.699
3.865 -4.509 -3.272
5.894 1.484 3.006
Pa Mn Zn
1 1 17
direct
0.658 0.658 0.658
0.401 0.401 0.401
0.302 0.009 0.678
0.678 0.302 0.009
0.009 0.678 0.302
0.302 0.678 0.009
0.009 0.302 0.678
0.678 0.009 0.302
0.346 0.838 0.346
0.346 0.346 0.838
0.838 0.346 0.346
0.651 0.164 0.651
0.651 0.651 0.164
0.164 0.651 0.651
0.985 0.498 0.985
0.985 0.985 0.498
0.498 0.985 0.985
0.899 0.899 0.899
0.100 0.100 0.100
```


Entry 3:
First-principles (PBE) data for a geometry-optimized SrSi2P structure, as listed in the Alexandria database.

Summary:
The space group is P2/m, No. 10. The energy relative to the elements, uncorrected is -0.176 eV/atom.

Structure (POSCAR):
```
SrSi2P
1.0
-3.351 -3.273 -0.356
3.221 -3.421 1.125
-0.623 0.202 4.010
P Si Sr
1 2 1
direct
0.500 0.750 0.750
0.000 0.882 0.972
0.000 0.618 0.528
0.500 0.250 0.250
```


Entry 4:
First-principles (PBE) data for a geometry-optimized LaP2CCl structure, as listed in the Alexandria database.

Summary:
The space group is P4/mmm, No. 123. The calculation puts the offset from the most stable computed form at 1.529 eV per atom. The energy relative to the elements, uncorrected is 1.538 eV/atom.

Structure (POSCAR):
```
LaP2CCl
1.0
5.862 0.000 0.000
0.000 5.862 0.000
0.000 0.000 5.511
P C Cl La
2 1 1 1
direct
0.000 0.500 0.000
0.500 0.000 0.000
0.500 0.500 0.500
0.000 0.000 0.500
0.000 0.000 0.000
```


Entry 5:
First-principles (PBE) data for a geometry-optimized NaCd12 structure, as listed in the Alexandria database.

Summary:
The space group is Fm-3m, No. 225. The calculation puts the offset from the most stable computed form at 0.260 eV per atom. The formation energy comes out at 0.2499 eV/atom.

Structure (POSCAR):
```
NaCd12
1.0
-8.417 1.833 0.327
-4.497 -1.659 7.165
-2.810 6.493 4.926
Na Cd
1 12
direct
0.000 0.000 0.000
0.840 0.500 0.500
0.160 0.500 0.500
0.160 0.840 0.500
0.500 0.500 0.160
0.500 0.160 0.840
0.500 0.840 0.160
0.160 0.500 0.840
0.500 0.160 0.500
0.500 0.500 0.840
0.840 0.500 0.160
0.500 0.840 0.500
0.840 0.160 0.500
```


Entry 6:
First-principles (PBE) data for a geometry-optimized CdCo3Ag structure, as listed in the Alexandria database.

Summary:
The space group is Pm-3m, No. 221. The calculation puts the offset from the most stable computed form at 0.000 eV per atom. The formation energy comes out at 1.5358 eV/atom.

Structure (POSCAR):
```
CdCo3Ag
1.0
4.660 0.000 0.000
0.000 4.660 0.000
0.000 0.000 4.660
Co Ag Cd
3 1 1
direct
0.000 0.500 0.000
0.000 0.000 0.500
0.500 0.000 0.000
0.000 0.000 0.000
0.500 0.500 0.500
```